ErNpS2N | GGA-PBE | optimized geometry

CIF file:
```
data_ErNpS2N
_chemical_formula_sum 'Er2 Np2 S4 N2'
_cell_length_a 3.795
_cell_length_b 3.795
_cell_length_c 13.676
_cell_angle_alpha 90.00
_cell_angle_beta 90.00
_cell_angle_gamma 90.00
_space_group_name_H-M_alt 'P 4/n m m'
_space_group_IT_number 129
loop_
_space_group_symop_operation_xyz
'x,y,z'
'-x,-y,-z'
'-y+1/2,x,z'
'y+1/2,-x,-z'
'-x+1/2,-y+1/2,z'
'x+1/2,y+1/2,-z'
'y,-x+1/2,z'
'-y,x+1/2,-z'
'x+1/2,-y,-z'
'-x+1/2,y,z'
'-y,-x,-z'
'y,x,z'
'-x,y+1/2,-z'
'x,-y+1/2,z'
'y+1/2,x+1/2,-z'
'-y+1/2,-x+1/2,z'
loop_
_atom_site_label
_atom_site_fract_x
_atom_site_fract_y
_atom_site_fract_z
Er1 0.250 0.250 0.119
Np1 0.250 0.250 0.586
S1 0.250 0.250 0.308
S2 0.250 0.250 0.908
N1 0.250 0.750 0.500
```

Computed properties:
- Uncorrected formation energy: -8.30 eV per formula unit
- Crystal system: tetragonal
- M_tot: 2.7 μB/f.u.
- Calculated density: 8.1 g/cm³